# 1
Sr2LiAl4Ga3, optimized geometry, DFT PBE-GGA; formation enthalpy at 0 K = -0.322 eV per atom; DOS(E_F) = 2.25 states/eV per cell; V = 21.60 Å³ per atom; M_tot = 0.00 μB per atom; E = -3.255 eV per atom
1.0
4.3762 0.0000 0.0000
0.0000 4.3762 0.0000
0.0000 0.0000 11.2810
Li Ga Sr Al
1 3 2 4
direct
0.5000 0.5000 0.5000
0.5000 0.0000 0.8627
0.0000 0.5000 0.1373
0.0000 0.0000 0.5000
0.5000 0.0000 0.2474
0.0000 0.5000 0.7526
0.0000 0.5000 0.3676
0.5000 0.5000 0.0000
0.0000 0.0000 0.0000
0.5000 0.0000 0.6324

---

# 2
Sr2LiAlGa6, optimized geometry, DFT PBE-GGA; formation enthalpy at 0 K = -0.253 eV per atom; DOS(E_F) = 4.98 states/eV per cell; V = 22.26 Å³ per atom; M_tot = 0.00 μB per atom; E = -2.971 eV per atom
1.0
-0.0046 -4.7222 4.4829
-3.6502 -5.3197 -0.8788
8.0280 -8.7527 -4.4831
Al Ga Sr Li
2 12 4 2
direct
0.0000 0.0000 0.0000
0.5000 0.5000 0.5000
0.8027 0.2181 0.1765
0.3580 0.3580 0.3403
0.6420 0.6420 0.6597
0.9437 0.3580 0.3403
0.6420 0.0563 0.6597
0.2181 0.8027 0.1765
0.0563 0.6420 0.6597
0.7819 0.1973 0.8235
0.8027 0.8027 0.1765
0.3580 0.9437 0.3403
0.1973 0.1973 0.8235
0.1973 0.7819 0.8235
0.6893 0.6893 0.9322
0.8599 0.8599 0.4202
0.1401 0.1401 0.5798
0.3107 0.3107 0.0678
0.4170 0.4170 0.7489
0.5830 0.5830 0.2511

---

# 3
Sr2Li3Al12Ga, optimized geometry, DFT PBE-GGA; formation enthalpy at 0 K = 0.046 eV per atom; DOS(E_F) = 9.19 states/eV per cell; V = 21.81 Å³ per atom; M_tot = 0.00 μB per atom; E = -3.123 eV per atom
1.0
-8.0568 -5.7206 -4.0457
-8.4453 -5.9530 2.6916
-10.6468 -0.5024 -0.6312
Ga Al Sr Li
1 12 2 3
direct
0.0000 0.0000 0.0000
0.4164 0.4164 0.8115
0.5836 0.1885 0.5836
0.1885 0.5836 0.5836
0.9364 0.9364 0.3482
0.9364 0.3482 0.9364
0.5836 0.5836 0.1885
0.0636 0.6518 0.0636
0.4164 0.8115 0.4164
0.0636 0.0636 0.6518
0.8115 0.4164 0.4164
0.3482 0.9364 0.9364
0.6518 0.0636 0.0636
0.3515 0.3515 0.3515
0.6485 0.6485 0.6485
0.0000 0.5000 0.0000
0.5000 0.0000 0.0000
0.0000 0.0000 0.5000